No. 1
DFT (PBE) results for an optimized crystal structure of SrAg2.

Cell lengths 5.388, 5.388, 6.334 Å; angles 90.00, 90.00, 120.00 degrees
Fractional coordinates of all 6 atoms:
Sr1 0.333 0.667 0.250
Sr2 0.667 0.333 0.750
Ag1 0.000 0.000 0.000
Ag2 0.333 0.667 0.750
Ag3 0.667 0.333 0.250
Ag4 0.000 0.000 0.500

Summary:
energy of formation = -12.29 kJ per mole of atoms
symmetry = No. 194
crystal system = hexagonal
total magnetization = 0.00 Bohr magnetons per cell
energy = -15.5 eV per cell

No. 2
DFT (PBE) results for an optimized crystal structure of Sr5Ag6.

Cell lengths 5.981, 7.977, 8.887 Å; angles 116.66, 101.40, 90.01 degrees
Fractional coordinates of all 11 atoms:
Sr1 0.000 0.500 0.000
Sr2 0.787 0.109 0.218
Sr3 0.381 0.307 0.614
Sr4 0.213 0.891 0.782
Sr5 0.619 0.693 0.386
Ag1 0.877 0.488 0.617
Ag2 0.123 0.871 0.383
Ag3 0.500 0.318 0.000
Ag4 0.877 0.129 0.617
Ag5 0.123 0.512 0.383
Ag6 0.500 0.682 0.000

Summary:
energy of formation = -19.72 kJ per mole of atoms
symmetry = No. 12
crystal system = monoclinic
total magnetization = 0.00 Bohr magnetons per cell
energy = -27.8 eV per cell

No. 3
DFT (PBE) results for an optimized crystal structure of Sr2Ag.

Cell lengths 4.535, 7.433, 7.802 Å; angles 90.00, 90.00, 90.00 degrees
Fractional coordinates of all 6 atoms:
Sr1 0.000 0.249 0.664
Sr2 0.000 0.751 0.336
Sr3 0.500 0.749 0.836
Sr4 0.500 0.251 0.164
Ag1 0.000 0.000 0.000
Ag2 0.500 0.500 0.500

Summary:
energy of formation = -15.76 kJ per mole of atoms
symmetry = No. 58
crystal system = orthorhombic
excess energy over the best structure of this formula in the dataset = 51 meV per atom
total magnetization = 0.00 Bohr magnetons per cell
energy = -13.4 eV per cell

No. 4
DFT (PBE) results for an optimized crystal structure of Sr8Ag.

Cell lengths 10.055, 10.055, 10.055 Å; angles 92.92, 92.92, 153.91 degrees
Fractional coordinates of all 9 atoms:
Sr1 0.664 0.000 0.664
Sr2 0.351 0.351 0.702
Sr3 0.000 0.336 0.336
Sr4 0.649 0.351 0.000
Sr5 0.000 0.664 0.664
Sr6 0.336 0.000 0.336
Sr7 0.649 0.649 0.298
Sr8 0.351 0.649 0.000
Ag1 0.000 0.000 0.000

Summary:
energy of formation = 0.36 kJ per mole of atoms
symmetry = No. 139
crystal system = tetragonal
total magnetization = 0.00 Bohr magnetons per cell
energy = -16.3 eV per cell

No. 5
DFT (PBE) results for an optimized crystal structure of Sr5Ag2.

Cell lengths 7.445, 8.467, 9.988 Å; angles 97.12, 111.88, 90.00 degrees
Fractional coordinates of all 14 atoms:
Sr1 0.418 0.750 0.000
Sr2 0.196 0.420 0.186
Sr3 0.633 0.812 0.434
Sr4 0.010 0.080 0.814
Sr5 0.582 0.250 0.000
Sr6 0.801 0.312 0.434
Sr7 0.990 0.920 0.186
Sr8 0.804 0.580 0.814
Sr9 0.199 0.688 0.566
Sr10 0.367 0.188 0.566
Ag1 0.410 0.081 0.220
Ag2 0.190 0.419 0.780
Ag3 0.810 0.581 0.220
Ag4 0.590 0.919 0.780

Summary:
energy of formation = -18.85 kJ per mole of atoms
symmetry = No. 15
crystal system = monoclinic
total magnetization = 0.00 Bohr magnetons per cell
energy = -31.0 eV per cell

No. 6
DFT (PBE) results for an optimized crystal structure of Sr2Ag.

Cell lengths 7.926, 7.926, 7.926 Å; angles 90.00, 90.00, 90.00 degrees
Fractional coordinates of all 12 atoms:
Sr1 0.341 0.341 0.659
Sr2 0.659 0.659 0.341
Sr3 0.659 0.841 0.841
Sr4 0.159 0.841 0.659
Sr5 0.159 0.659 0.159
Sr6 0.841 0.341 0.841
Sr7 0.341 0.159 0.159
Sr8 0.841 0.159 0.341
Ag1 0.500 0.000 0.500
Ag2 0.000 0.500 0.500
Ag3 0.500 0.500 0.000
Ag4 0.000 0.000 0.000

Summary:
energy of formation = -15.56 kJ per mole of atoms
symmetry = No. 205
crystal system = cubic
excess energy over the best structure of this formula in the dataset = 53 meV per atom
total magnetization = 0.00 Bohr magnetons per cell
energy = -26.8 eV per cell

No. 7
DFT (PBE) results for an optimized crystal structure of Sr2Ag.

Cell lengths 9.753, 9.753, 5.959 Å; angles 90.00, 90.00, 156.05 degrees
Fractional coordinates of all 6 atoms:
Sr1 0.429 0.571 0.250
Sr2 0.571 0.429 0.750
Sr3 0.295 0.705 0.750
Sr4 0.705 0.295 0.250
Ag1 0.069 0.931 0.250
Ag2 0.931 0.069 0.750

Summary:
energy of formation = -12.59 kJ per mole of atoms
symmetry = No. 63
crystal system = orthorhombic
excess energy over the best structure of this formula in the dataset = 84 meV per atom
total magnetization = 0.00 Bohr magnetons per cell
energy = -13.2 eV per cell

No. 8
DFT (PBE) results for an optimized crystal structure of Sr2Ag.

Cell lengths 5.827, 5.827, 7.493 Å; angles 90.00, 90.00, 120.00 degrees
Fractional coordinates of all 6 atoms:
Sr1 0.000 0.000 0.500
Sr2 0.000 0.000 0.000
Sr3 0.667 0.333 0.250
Sr4 0.333 0.667 0.750
Ag1 0.333 0.667 0.250
Ag2 0.667 0.333 0.750

Summary:
energy of formation = -9.26 kJ per mole of atoms
symmetry = No. 194
crystal system = hexagonal
excess energy over the best structure of this formula in the dataset = 119 meV per atom
total magnetization = 0.00 Bohr magnetons per cell
energy = -13.0 eV per cell